Record 1
# PrHo2Se3 PBE relaxed
data_PrHo2Se3
_chemical_formula_sum 'Pr2 Ho4 Se6'
_space_group_name_H-M_alt 'I m m m'
_space_group_IT_number 71
_space_group_name_Hall '-I 2 2'
_cell_length_a 4.106
_cell_length_b 5.837
_cell_length_c 12.465
_cell_angle_alpha 90.00
_cell_angle_beta 90.00
_cell_angle_gamma 90.00
loop_
_atom_site_label
_atom_site_fract_x
_atom_site_fract_y
_atom_site_fract_z
Pr1 0.000 0.000 0.000
Ho1 0.000 0.000 0.341
Se1 0.000 0.500 0.000
Se2 0.000 0.500 0.321
# Crystal system   orthorhombic
# E   -69.8 eV for the cell shown

=====

Record 2
# Pr2HoSe PBE relaxed
data_Pr2HoSe
_chemical_formula_sum 'Pr6 Ho3 Se3'
_space_group_name_H-M_alt 'R -3 m'
_space_group_IT_number 166
_space_group_name_Hall '-R 3 2"'
_cell_length_a 3.9288
_cell_length_b 3.9288
_cell_length_c 29.2500
_cell_angle_alpha 90.00
_cell_angle_beta 90.00
_cell_angle_gamma 120.00
loop_
_atom_site_label
_atom_site_fract_x
_atom_site_fract_y
_atom_site_fract_z
Pr1 0.0000 0.0000 0.2336
Ho1 0.0000 0.0000 0.0000
Se1 0.0000 0.0000 0.5000
# Crystal system   trigonal
# E   -61.8 eV for the cell shown

=====

Record 3
# Pr3Ho5Se8 PBE relaxed
data_Pr3Ho5Se8
_chemical_formula_sum 'Pr9 Ho15 Se24'
_space_group_name_H-M_alt 'R -3 m'
_space_group_IT_number 166
_space_group_name_Hall '-R 3 2"'
_cell_length_a 8.1971
_cell_length_b 8.1971
_cell_length_c 20.6582
_cell_angle_alpha 90.00
_cell_angle_beta 90.00
_cell_angle_gamma 120.00
loop_
_atom_site_label
_atom_site_fract_x
_atom_site_fract_y
_atom_site_fract_z
Pr1 0.0000 0.5000 0.0000
Ho1 0.0000 0.0000 0.0000
Ho2 0.0000 0.0000 0.5000
Ho3 0.0000 0.5000 0.5000
Se1 0.0000 0.0000 0.2434
Se2 0.0081 0.5041 0.7545
# Crystal system   trigonal
# E   -280.0 eV for the cell shown

=====

Record 4
# Pr5HoSe8 PBE relaxed
data_Pr5HoSe8
_chemical_formula_sum 'Pr10 Ho2 Se16'
_space_group_name_H-M_alt 'I -4'
_space_group_IT_number 82
_space_group_name_Hall 'I -4'
_cell_length_a 8.920
_cell_length_b 8.920
_cell_length_c 9.038
_cell_angle_alpha 90.00
_cell_angle_beta 90.00
_cell_angle_gamma 90.00
loop_
_atom_site_label
_atom_site_fract_x
_atom_site_fract_y
_atom_site_fract_z
Pr1 0.000 0.000 0.000
Pr2 0.118 0.251 0.376
Ho1 0.000 0.500 0.750
Se1 0.072 0.185 0.702
Se2 0.076 0.325 0.049
# Crystal system   tetragonal
# E   -164.2 eV for the cell shown

=====

Record 5
# Pr2Ho3Se8 PBE relaxed
data_Pr2Ho3Se8
_chemical_formula_sum 'Pr4 Ho6 Se16'
_space_group_name_H-M_alt 'C 1 2/m 1'
_space_group_IT_number 12
_space_group_name_Hall '-C 2y'
_cell_length_a 14.522
_cell_length_b 8.329
_cell_length_c 7.059
_cell_angle_alpha 90.00
_cell_angle_beta 109.45
_cell_angle_gamma 90.00
loop_
_atom_site_label
_atom_site_fract_x
_atom_site_fract_y
_atom_site_fract_z
Pr1 0.239 0.000 0.162
Ho1 0.000 0.239 0.500
Ho2 0.000 0.500 0.000
Se1 0.114 0.500 0.419
Se2 0.119 0.264 0.911
Se3 0.121 0.000 0.430
# Crystal system   monoclinic
# E   -147.3 eV for the cell shown

=====

Record 6
# Pr3HoSe6 PBE relaxed
data_Pr3HoSe6
_chemical_formula_sum 'Pr18 Ho6 Se36'
_space_group_name_H-M_alt 'R -3'
_space_group_IT_number 148
_space_group_name_Hall '-R 3'
_cell_length_a 12.3500
_cell_length_b 12.3500
_cell_length_c 14.6246
_cell_angle_alpha 90.00
_cell_angle_beta 90.00
_cell_angle_gamma 120.00
loop_
_atom_site_label
_atom_site_fract_x
_atom_site_fract_y
_atom_site_fract_z
Pr1 0.0511 0.7797 0.2011
Ho1 0.0000 0.0000 0.0000
Ho2 0.0000 0.0000 0.5000
Se1 0.0208 0.8134 0.3985
Se2 0.0323 0.8397 0.8802
# Crystal system   trigonal
# E   -350.9 eV for the cell shown

=====

Record 7
# Pr4HoSe7 PBE relaxed
data_Pr4HoSe7
_chemical_formula_sum 'Pr8 Ho2 Se14'
_space_group_name_H-M_alt 'C 1 m 1'
_space_group_IT_number 8
_space_group_name_Hall 'C -2y'
_cell_length_a 13.860
_cell_length_b 4.112
_cell_length_c 12.511
_cell_angle_alpha 90.00
_cell_angle_beta 105.02
_cell_angle_gamma 90.00
loop_
_atom_site_label
_atom_site_fract_x
_atom_site_fract_y
_atom_site_fract_z
Pr1 0.000 0.000 0.000
Pr2 0.087 0.500 0.381
Pr3 0.189 0.000 0.767
Pr4 0.387 0.500 0.571
Ho1 0.275 0.500 0.151
Se1 0.049 0.500 0.624
Se2 0.132 0.500 0.931
Se3 0.156 0.000 0.222
Se4 0.225 0.000 0.523
Se5 0.349 0.500 0.790
Se6 0.382 0.000 0.078
Se7 0.425 0.500 0.351
# Crystal system   monoclinic
# E   -141.3 eV for the cell shown

=====

Record 8
# Pr5Ho3Se8 PBE relaxed
data_Pr5Ho3Se8
_chemical_formula_sum 'Pr15 Ho9 Se24'
_space_group_name_H-M_alt 'R -3 m'
_space_group_IT_number 166
_space_group_name_Hall '-R 3 2"'
_cell_length_a 8.3047
_cell_length_b 8.3047
_cell_length_c 20.9067
_cell_angle_alpha 90.00
_cell_angle_beta 90.00
_cell_angle_gamma 120.00
loop_
_atom_site_label
_atom_site_fract_x
_atom_site_fract_y
_atom_site_fract_z
Pr1 0.0000 0.0000 0.0000
Pr2 0.0000 0.0000 0.5000
Pr3 0.0000 0.5000 0.0000
Ho1 0.0000 0.5000 0.5000
Se1 0.0000 0.0000 0.2433
Se2 0.0091 0.5045 0.7547
# Crystal system   trigonal
# E   -282.7 eV for the cell shown

=====

Record 9
# PrSmHo2Se4 PBE relaxed
data_PrSmHo2Se4
_chemical_formula_sum 'Pr1 Sm1 Ho2 Se4'
_space_group_name_H-M_alt 'P 1 2/m 1'
_space_group_IT_number 10
_space_group_name_Hall '-P 2y'
_cell_length_a 7.096
_cell_length_b 4.067
_cell_length_c 7.330
_cell_angle_alpha 90.00
_cell_angle_beta 108.61
_cell_angle_gamma 90.00
loop_
_atom_site_label
_atom_site_fract_x
_atom_site_fract_y
_atom_site_fract_z
Pr1 0.000 0.000 0.000
Sm1 0.500 0.500 0.000
Ho1 0.000 0.500 0.500
Ho2 0.500 0.000 0.500
Se1 0.248 0.000 0.736
Se2 0.259 0.500 0.267
# Crystal system   monoclinic
# E   -46.8 eV for the cell shown

=====

Record 10
# Pr2SmHo3Se6 PBE relaxed
data_Pr2SmHo3Se6
_chemical_formula_sum 'Pr4 Sm2 Ho6 Se12'
_space_group_name_H-M_alt 'C 1 2/m 1'
_space_group_IT_number 12
_space_group_name_Hall '-C 2y'
_cell_length_a 18.194
_cell_length_b 4.095
_cell_length_c 8.407
_cell_angle_alpha 90.00
_cell_angle_beta 105.09
_cell_angle_gamma 90.00
loop_
_atom_site_label
_atom_site_fract_x
_atom_site_fract_y
_atom_site_fract_z
Pr1 0.167 0.000 0.334
Sm1 0.000 0.500 0.000
Ho1 0.000 0.500 0.500
Ho2 0.168 0.000 0.834
Se1 0.005 0.000 0.745
Se2 0.162 0.500 0.594
Se3 0.168 0.500 0.071
# Crystal system   monoclinic
# E   -140.7 eV for the cell shown

=====

Record 11
# PrSm3Ho2Se6 PBE relaxed
data_PrSm3Ho2Se6
_chemical_formula_sum 'Pr2 Sm6 Ho4 Se12'
_space_group_name_H-M_alt 'C 1 2/m 1'
_space_group_IT_number 12
_space_group_name_Hall '-C 2y'
_cell_length_a 7.170
_cell_length_b 12.471
_cell_length_c 7.192
_cell_angle_alpha 90.00
_cell_angle_beta 109.44
_cell_angle_gamma 90.00
loop_
_atom_site_label
_atom_site_fract_x
_atom_site_fract_y
_atom_site_fract_z
Pr1 0.000 0.000 0.000
Sm1 0.000 0.158 0.500
Sm2 0.000 0.500 0.500
Ho1 0.000 0.334 0.000
Se1 0.235 0.500 0.241
Se2 0.245 0.327 0.753
# Crystal system   monoclinic
# E   -141.0 eV for the cell shown

=====

Record 12
# PrSm2HoSe4 PBE relaxed
data_PrSm2HoSe4
_chemical_formula_sum 'Pr1 Sm2 Ho1 Se4'
_space_group_name_H-M_alt 'P 1 2/m 1'
_space_group_IT_number 10
_space_group_name_Hall '-P 2y'
_cell_length_a 7.192
_cell_length_b 4.111
_cell_length_c 7.322
_cell_angle_alpha 90.00
_cell_angle_beta 108.78
_cell_angle_gamma 90.00
loop_
_atom_site_label
_atom_site_fract_x
_atom_site_fract_y
_atom_site_fract_z
Pr1 0.000 0.000 0.000
Sm1 0.500 0.000 0.500
Sm2 0.500 0.500 0.000
Ho1 0.000 0.500 0.500
Se1 0.245 0.000 0.739
Se2 0.251 0.500 0.259
# Crystal system   monoclinic
# E   -47.1 eV for the cell shown

=====

no.,density of states at the Fermi level (states/eV per atom)
1,0.473
2,1.219
3,0.572
4,0.694
5,0.502
6,0.000
7,0.120
8,0.576
9,0.505
10,0.421
11,0.441
12,0.578